VASP calculation (PBE) on a relaxed BH2Ir4 crystal.

POSCAR file:
```
BH2Ir4
1.0
-2.060 2.060 4.504
2.060 -2.060 4.504
2.060 2.060 -4.504
B H Ir
1 2 4
Direct
0.000 0.000 0.000 B
0.420 0.420 0.000 H
0.580 0.580 0.000 H
0.000 0.500 0.500 Ir
0.231 0.231 0.000 Ir
0.500 0.000 0.500 Ir
0.769 0.769 0.000 Ir
```

Values from the calculation:
Crystal system: tetragonal
Raw total energy in eV/atom: -6.43

=====

VASP calculation (PBE) on a relaxed B2HIr crystal.

POSCAR file:
```
B2HIr
1.0
-1.827 1.827 4.597
1.827 -1.827 4.597
1.827 1.827 -4.597
B H Ir
4 2 2
Direct
0.375 0.131 0.256 B
0.869 0.125 0.244 B
0.875 0.119 0.744 B
0.881 0.625 0.756 B
0.000 0.000 0.000 H
0.750 0.250 0.500 H
0.250 0.750 0.500 Ir
0.500 0.500 0.000 Ir
```

Values from the calculation:
Crystal system: tetragonal
Polymorph energy (0 for the lowest one) in meV per atom: 0